First-principles (PBE+U) data for FeAgPbF6 after structural relaxation, as listed in the Alexandria database.

Unit cell a=5.3235 b=5.3235 c=10.6535 alpha=90.00 beta=90.00 gamma=90.00
Space group P4_2nm (No. 102)
One atom of each set of equivalent atoms:
1 Fe 0.0000 0.0000 0.0000 (multiplicity 2)
2 Ag 0.0000 0.0000 0.6621 (multiplicity 2)
3 Pb 0.0000 0.0000 0.3387 (multiplicity 2)
4 F 0.1779 0.1779 0.1358 (multiplicity 4)
5 F 0.1778 0.1778 0.8638 (multiplicity 4)
6 F 0.2389 0.2389 0.4961 (multiplicity 4)

## Properties
DFT total energy: -85.1 eV for the cell shown
total magnetic moment: 9.84 Bohr magnetons per cell